Material: LiZnAs2
Method: DFT, GGA-PBE
State: optimized geometry

Summary:
Formation energy in eV per atom: -0.120
Fermi-level density of states in states/eV/cell: 1.7
Total magnetization in Bohr magnetons per cell: 0.00

a b c (Å): 8.103 8.103 8.103
angles (deg): 22.83 22.83 22.83
Element x y z (fractional)
Li1 0.000 0.000 0.000
Zn1 0.500 0.500 0.500
As1 0.248 0.248 0.248
As2 0.752 0.752 0.752